# 1
Density functional theory data (PBE-GGA) for a relaxed Sb2Se3 crystal.

Computed properties:
Space group: R-3c, No. 167
Formation energy from raw total energies, eV/atom: -0.193
Calculated density, g/cm³: 5.1
DOS at the Fermi energy, states/eV per atom: 0.014

Cell: 7.7709 7.7709 7.7709 Å, 57.31 57.31 57.31°
Last column: nearest neighbours and their distance in Å.
Fractional positions:
Sb (0.1584, 0.1584, 0.1584)  6 Se 2.79-3.04
Sb (0.3416, 0.3416, 0.3416)  6 Se 2.79-3.04
Sb (0.6584, 0.6584, 0.6584)  6 Se 2.79-3.04
Sb (0.8416, 0.8416, 0.8416)  6 Se 2.79-3.04
Se (0.0386, 0.7500, 0.4614)  4 Sb 2.79-3.04
Se (0.2500, 0.5386, 0.9614)  4 Sb 2.79-3.04
Se (0.4614, 0.0386, 0.7500)  4 Sb 2.79-3.04
Se (0.5386, 0.9614, 0.2500)  4 Sb 2.79-3.04
Se (0.7500, 0.4614, 0.0386)  4 Sb 2.79-3.04
Se (0.9614, 0.2500, 0.5386)  4 Sb 2.79-3.04

***

# 2
Density functional theory data (PBE-GGA) for a relaxed Sb2Se crystal.

Computed properties:
Space group: P-1, No. 2
Formation energy from raw total energies, eV/atom: -0.078
Calculated density, g/cm³: 6.3
DOS at the Fermi energy, states/eV per atom: 0.293

Cell: 4.1960 6.7135 7.1910 Å, 64.42 73.36 71.86°
Last column: nearest neighbours and their distance in Å.
Fractional positions:
Sb (0.0000, 0.0000, 0.0000)  4 Se 2.90, 2 Sb 3.10
Sb (0.1759, 0.4765, 0.1719)  1 Se 2.93, 5 Sb 3.08-3.14
Sb (0.5000, 0.5000, 0.5000)  2 Se 2.88, 4 Sb 3.12-3.14
Sb (0.8241, 0.5235, 0.8281)  1 Se 2.93, 5 Sb 3.08-3.14
Se (0.3620, 0.9848, 0.2952)  4 Sb 2.88-2.93
Se (0.6380, 0.0152, 0.7048)  4 Sb 2.88-2.93

***

> Look up the DOS at the Fermi energy of the first one.

0.014 states/eV per atom

***

> Which value of calculated density does entry 1 give?

5.1 g/cm³